Record 1
Compound: Tl4Rh
Source: Alexandria
Functional: SCAN
Structure: single point on PBEsol structure

Distance to the lowest polymorph of the same formula   50 meV/atom
SG   R-3m, No. 166
Energy relative to the elements   0.131 eV/atom
Size of the total moment   0.00 μB per atom

Structure (POSCAR):
```
Tl4Rh
1.0
-1.610 1.356 -2.605
-3.156 1.066 0.352
2.545 11.969 2.506
Tl Rh
4 1
direct
0.206 0.206 0.383 Tl
0.386 0.386 0.841 Tl
0.794 0.794 0.617 Tl
0.614 0.614 0.159 Tl
0.000 0.000 0.000 Rh
```

=====

Record 2
Compound: ZnH4SeO6
Source: Alexandria
Functional: SCAN
Structure: single point on PBEsol structure

SG   Pbca, No. 61
Raw total energy   -780.594 eV/cell
Size of the total moment   0.00 μB per atom

Structure (POSCAR):
```
ZnH4SeO6
1.0
-8.883 0.983 -0.236
-1.040 -7.839 6.493
0.508 6.481 7.905
H O Zn Se
32 48 8 8
direct
0.818 0.132 0.172 H
0.671 0.680 0.414 H
0.318 0.868 0.328 H
0.376 0.957 0.592 H
0.124 0.457 0.408 H
0.182 0.868 0.828 H
0.182 0.368 0.672 H
0.671 0.180 0.086 H
0.682 0.632 0.828 H
0.376 0.457 0.908 H
0.310 0.052 0.478 H
0.190 0.552 0.522 H
0.810 0.448 0.478 H
0.876 0.543 0.592 H
0.329 0.320 0.586 H
0.690 0.948 0.522 H
0.171 0.820 0.414 H
0.690 0.448 0.978 H
0.318 0.368 0.172 H
0.124 0.957 0.092 H
0.818 0.632 0.328 H
0.624 0.543 0.092 H
0.171 0.320 0.086 H
0.190 0.052 0.978 H
0.829 0.180 0.586 H
0.624 0.043 0.408 H
0.829 0.680 0.914 H
0.876 0.043 0.908 H
0.329 0.820 0.914 H
0.682 0.132 0.672 H
0.310 0.552 0.022 H
0.810 0.948 0.022 H
0.510 0.194 0.311 O
0.993 0.140 0.526 O
0.659 0.953 0.428 O
0.290 0.607 0.654 O
0.159 0.047 0.072 O
0.490 0.806 0.689 O
0.416 0.443 0.282 O
0.993 0.640 0.974 O
0.721 0.198 0.608 O
0.721 0.698 0.892 O
0.279 0.802 0.392 O
0.510 0.694 0.189 O
0.159 0.547 0.428 O
0.341 0.047 0.572 O
0.779 0.698 0.392 O
0.841 0.953 0.928 O
0.493 0.860 0.974 O
0.584 0.057 0.782 O
0.279 0.302 0.108 O
0.221 0.302 0.608 O
0.210 0.607 0.154 O
0.007 0.360 0.026 O
0.290 0.107 0.846 O
0.916 0.057 0.282 O
0.493 0.360 0.526 O
0.007 0.860 0.474 O
0.490 0.306 0.811 O
0.916 0.557 0.218 O
0.841 0.453 0.572 O
0.710 0.893 0.154 O
0.507 0.640 0.474 O
0.210 0.107 0.346 O
0.084 0.443 0.782 O
0.790 0.393 0.846 O
0.584 0.557 0.718 O
0.659 0.453 0.072 O
0.779 0.198 0.108 O
0.010 0.306 0.311 O
0.790 0.893 0.654 O
0.710 0.393 0.346 O
0.221 0.802 0.892 O
0.084 0.943 0.718 O
0.341 0.547 0.928 O
0.010 0.806 0.189 O
0.990 0.194 0.811 O
0.416 0.943 0.218 O
0.507 0.140 0.026 O
0.990 0.694 0.689 O
0.662 0.875 0.826 Zn
0.838 0.375 0.174 Zn
0.338 0.125 0.174 Zn
0.838 0.875 0.326 Zn
0.338 0.625 0.326 Zn
0.662 0.375 0.674 Zn
0.162 0.625 0.826 Zn
0.162 0.125 0.674 Zn
0.533 0.845 0.133 Se
0.033 0.655 0.133 Se
0.033 0.155 0.367 Se
0.467 0.155 0.867 Se
0.967 0.845 0.633 Se
0.967 0.345 0.867 Se
0.533 0.345 0.367 Se
0.467 0.655 0.633 Se
```

=====

Record 3
Compound: Sr4Al6WO16
Source: Alexandria
Functional: SCAN
Structure: single point on PBEsol structure

Formation energy from raw total energies   -3.23 eV/atom
SG   I-43m, No. 217
Size of the total moment   0.00 μB per atom

Structure (POSCAR):
```
Sr4Al6WO16
1.0
8.265 0.000 0.000
-2.755 7.792 0.000
-2.755 -3.896 6.748
O W Al Sr
16 1 6 4
direct
0.338 0.657 0.000 O
0.000 0.338 0.657 O
0.000 0.000 0.784 O
0.338 0.000 0.657 O
0.784 0.000 0.000 O
0.000 0.657 0.338 O
0.662 0.662 0.319 O
0.343 0.681 0.343 O
0.343 0.343 0.681 O
0.216 0.216 0.216 O
0.662 0.319 0.662 O
0.681 0.343 0.343 O
0.319 0.662 0.662 O
0.657 0.338 0.000 O
0.657 0.000 0.338 O
0.000 0.784 0.000 O
0.000 0.000 0.000 W
0.500 0.250 0.750 Al
0.250 0.750 0.500 Al
0.500 0.750 0.250 Al
0.250 0.500 0.750 Al
0.750 0.250 0.500 Al
0.750 0.500 0.250 Al
0.504 0.504 0.504 Sr
0.496 0.000 0.000 Sr
0.000 0.496 0.000 Sr
0.000 0.000 0.496 Sr
```

=====

Record 4
Compound: La9In5Se21
Source: Alexandria
Functional: SCAN
Structure: single point on PBEsol structure

Formation energy from raw total energies   -1.71 eV/atom
SG   R3, No. 146
Size of the total moment   0.00 μB per atom

Structure (POSCAR):
```
La9In5Se21
1.0
-2.879 -9.310 7.567
8.883 -6.106 -6.003
7.616 5.606 7.924
La Se In
18 42 10
direct
0.222 0.445 0.068 La
0.413 0.562 0.785 La
0.882 0.254 0.111 La
0.546 0.925 0.772 La
0.441 0.229 0.599 La
0.772 0.546 0.925 La
0.445 0.068 0.222 La
0.896 0.119 0.748 La
0.785 0.413 0.562 La
0.925 0.772 0.546 La
0.599 0.441 0.229 La
0.068 0.222 0.445 La
0.119 0.748 0.896 La
0.562 0.785 0.413 La
0.254 0.111 0.882 La
0.111 0.882 0.254 La
0.748 0.896 0.119 La
0.229 0.599 0.441 La
0.137 0.645 0.210 Se
0.595 0.441 0.701 Se
0.290 0.362 0.842 Se
0.865 0.623 0.723 Se
0.106 0.347 0.246 Se
0.842 0.290 0.362 Se
0.347 0.246 0.106 Se
0.029 0.521 0.945 Se
0.645 0.210 0.137 Se
0.216 0.955 0.058 Se
0.521 0.945 0.029 Se
0.696 0.189 0.625 Se
0.275 0.387 0.532 Se
0.648 0.981 0.315 Se
0.701 0.595 0.441 Se
0.312 0.885 0.804 Se
0.441 0.701 0.595 Se
0.723 0.865 0.623 Se
0.545 0.471 0.992 Se
0.210 0.137 0.645 Se
0.022 0.915 0.764 Se
0.532 0.275 0.387 Se
0.315 0.648 0.981 Se
0.471 0.992 0.545 Se
0.945 0.029 0.521 Se
0.915 0.764 0.022 Se
0.764 0.022 0.915 Se
0.246 0.106 0.347 Se
0.623 0.723 0.865 Se
0.955 0.058 0.216 Se
0.189 0.625 0.696 Se
0.625 0.696 0.189 Se
0.992 0.545 0.471 Se
0.148 0.817 0.479 Se
0.479 0.148 0.817 Se
0.058 0.216 0.955 Se
0.804 0.312 0.885 Se
0.885 0.804 0.312 Se
0.362 0.842 0.290 Se
0.817 0.479 0.148 Se
0.981 0.315 0.648 Se
0.387 0.532 0.275 Se
0.280 0.948 0.609 In
0.838 0.838 0.838 In
0.335 0.335 0.335 In
0.645 0.645 0.645 In
0.116 0.449 0.773 In
0.142 0.142 0.142 In
0.609 0.280 0.948 In
0.948 0.609 0.280 In
0.449 0.773 0.116 In
0.773 0.116 0.449 In
```

=====

Record 5
Compound: Hf2S
Source: Alexandria
Functional: SCAN
Structure: single point on PBEsol structure

Formation energy from raw total energies   -1.13 eV/atom
SG   P6_3/mmc, No. 194
Size of the total moment   0.00 μB per atom

Structure (POSCAR):
```
Hf2S
1.0
-0.527 -1.789 2.771
1.229 -1.477 -2.732
10.834 2.369 3.591
Hf S
4 2
direct
0.667 0.333 0.899 Hf
0.333 0.667 0.399 Hf
0.333 0.667 0.101 Hf
0.667 0.333 0.601 Hf
0.000 0.000 0.250 S
0.000 0.000 0.750 S
```

=====

Record 6
Compound: CaPSe
Source: Alexandria
Functional: SCAN
Structure: single point on PBEsol structure

Formation energy from raw total energies   -0.33 eV/atom
SG   F-43m, No. 216
Size of the total moment   0.00 μB per atom

Structure (POSCAR):
```
CaPSe
1.0
4.681 0.000 0.000
2.341 4.054 0.000
2.341 1.351 3.822
P Se Ca
1 1 1
direct
0.500 0.500 0.500 P
0.250 0.250 0.250 Se
0.000 0.000 0.000 Ca
```

=====

Record 7
Compound: Hg4C5
Source: Alexandria
Functional: SCAN
Structure: single point on PBEsol structure

SG   I4/mmm, No. 139
Energy relative to the elements   1.206 eV/atom
Size of the total moment   0.00 μB per atom

Structure (POSCAR):
```
Hg4C5
1.0
-1.249 -0.493 -2.247
0.275 -9.171 0.334
-8.560 -0.323 3.305
C Hg
5 4
direct
0.750 0.000 0.499 C
0.250 0.000 0.501 C
0.750 0.499 0.000 C
0.000 0.000 0.000 C
0.250 0.501 0.000 C
0.812 0.188 0.188 Hg
0.188 0.812 0.812 Hg
0.000 0.188 0.812 Hg
0.000 0.812 0.188 Hg
```

=====

Record 8
Compound: Ta2FeTe
Source: Alexandria
Functional: SCAN
Structure: single point on PBEsol structure

Formation energy from raw total energies   0.23 eV/atom
SG   Cmmm, No. 65
Size of the total moment   0.52 μB per atom

Structure (POSCAR):
```
Ta2FeTe
1.0
3.238 0.000 0.000
0.000 4.618 0.075
0.000 -1.131 4.478
Ta Te Fe
2 1 1
direct
0.000 0.500 0.000 Ta
0.000 0.000 0.500 Ta
0.500 0.000 0.000 Te
0.500 0.500 0.500 Fe
```

=====

Record 9
Compound: Ba3CdH
Source: Alexandria
Functional: SCAN
Structure: single point on PBEsol structure

SG   Pm-3m, No. 221
Raw total energy   -153.706 eV/cell
Size of the total moment   0.00 μB per atom

Structure (POSCAR):
```
Ba3CdH
1.0
5.541 0.000 0.000
0.000 5.541 0.000
0.000 0.000 5.541
Ba H Cd
3 1 1
direct
0.500 0.000 0.000 Ba
0.000 0.500 0.000 Ba
0.000 0.000 0.500 Ba
0.000 0.000 0.000 H
0.500 0.500 0.500 Cd
```

=====

Record 10
Compound: SnPSe2
Source: Alexandria
Functional: SCAN
Structure: single point on PBEsol structure

Formation energy from raw total energies   0.29 eV/atom
SG   R-3m, No. 166
Size of the total moment   0.00 μB per atom

Structure (POSCAR):
```
SnPSe2
1.0
3.793 0.000 0.000
1.896 3.284 0.000
1.896 1.095 8.255
Se P Sn
2 1 1
direct
0.905 0.905 0.285 Se
0.095 0.095 0.715 Se
0.000 0.000 0.000 P
0.500 0.500 0.500 Sn
```

=====

Record 11
Compound: LiTeO3
Source: Alexandria
Functional: SCAN
Structure: single point on PBEsol structure

Formation energy from raw total energies   -1.17 eV/atom
SG   Pm-3m, No. 221
Size of the total moment   0.00 μB per atom

Structure (POSCAR):
```
LiTeO3
1.0
-0.580 2.321 -3.219
2.892 -1.981 -1.949
-2.718 -2.603 -1.387
O Te Li
3 1 1
direct
0.000 0.000 0.500 O
0.500 0.000 0.000 O
0.000 0.500 0.000 O
0.000 0.000 0.000 Te
0.500 0.500 0.500 Li
```

=====

Record 12
Compound: Hf3Al
Source: Alexandria
Functional: SCAN
Structure: single point on PBEsol structure

SG   P6_3/mmc, No. 194
Energy relative to the elements   -0.246 eV/atom
Size of the total moment   0.00 μB per atom

Structure (POSCAR):
```
Hf3Al
1.0
4.946 0.000 0.000
0.000 6.062 0.000
0.000 -3.031 5.250
Al Hf
2 6
direct
0.750 0.333 0.667 Al
0.250 0.667 0.333 Al
0.750 0.830 0.660 Hf
0.250 0.170 0.830 Hf
0.750 0.340 0.170 Hf
0.750 0.830 0.170 Hf
0.250 0.170 0.340 Hf
0.250 0.660 0.830 Hf
```